First-principles (PBE) data for U2BiPH2 after structural relaxation, as listed in Alexandria.

Properties
* DOS(E_F): 7.469 states/eV per cell
* electronic total energy: -6.885 eV/atom
* crystal system: trigonal

```
U2BiPH2
1.0
3.8600 0.0000 0.0000
-1.9300 3.3429 0.0000
0.0000 0.0000 8.0584
U Bi P H
2 1 1 2
direct
0.3333 0.6667 0.2118
0.6667 0.3333 0.7882
0.0000 0.0000 0.5000
0.0000 0.0000 0.0000
0.3333 0.6667 0.7653
0.6667 0.3333 0.2347
```

First-principles (PBE) data for ZrBi2PH after structural relaxation, as listed in Alexandria.

Properties
* DOS(E_F): 3.144 states/eV per cell
* electronic total energy: -4.246 eV/atom
* crystal system: tetragonal

```
ZrBi2PH
1.0
5.4366 0.0000 0.0000
0.0000 5.4366 0.0000
0.0000 0.0000 4.9058
Zr Bi P H
1 2 1 1
direct
0.0000 0.0000 0.0000
0.0000 0.5000 0.5000
0.5000 0.0000 0.5000
0.0000 0.0000 0.5000
0.5000 0.5000 0.0000
```

First-principles (PBE) data for Pa3Bi2H2 after structural relaxation, as listed in Alexandria.

Properties
* DOS(E_F): 16.977 states/eV per cell
* electronic total energy: -6.355 eV/atom
* crystal system: monoclinic

```
Pa3Bi2H2
1.0
10.3013 0.0000 0.0000
0.0000 3.9018 0.0000
-5.1009 0.0000 7.1070
Pa Bi H
6 4 4
direct
0.0000 0.0000 0.0000
0.1379 0.5000 0.4387
0.3621 0.0000 0.5613
0.5000 0.5000 0.0000
0.6379 0.0000 0.4387
0.8621 0.5000 0.5613
0.1765 0.0000 0.7744
0.3235 0.5000 0.2256
0.6765 0.5000 0.7744
0.8235 0.0000 0.2256
0.0046 0.5000 0.8804
0.4954 0.0000 0.1196
0.5046 0.0000 0.8804
0.9954 0.5000 0.1196
```

First-principles (PBE) data for Pa2BiH3 after structural relaxation, as listed in Alexandria.

Properties
* DOS(E_F): 13.696 states/eV per cell
* electronic total energy: -5.732 eV/atom
* crystal system: orthorhombic

```
Pa2BiH3
1.0
-1.9974 3.5534 6.8430
1.9974 -3.5534 6.8430
1.9974 3.5534 -6.8430
Pa Bi H
4 2 6
direct
0.1476 0.1476 0.0000
0.2982 0.5000 0.7982
0.7018 0.5000 0.2018
0.8524 0.8524 0.0000
0.3397 0.8397 0.5000
0.6603 0.1603 0.5000
0.0048 0.3634 0.6413
0.1462 0.0000 0.1462
0.2779 0.6366 0.6413
0.7221 0.3634 0.3587
0.8538 0.0000 0.8538
0.9952 0.6366 0.3587
```

First-principles (PBE) data for Pa4Bi2H9 after structural relaxation, as listed in Alexandria.

Properties
* DOS(E_F): 13.638 states/eV per cell
* electronic total energy: -5.382 eV/atom
* crystal system: monoclinic

```
Pa4Bi2H9
1.0
3.4065 -1.9128 0.0000
3.4065 1.9128 0.0000
-0.2909 0.0000 15.2988
Pa Bi H
4 2 9
direct
0.0000 0.0000 0.0000
0.0098 0.0098 0.3034
0.6473 0.6473 0.4966
0.6651 0.6651 0.7997
0.6739 0.6739 0.1500
0.9894 0.9894 0.6492
0.3205 0.3205 0.5177
0.3308 0.3308 0.0139
0.3342 0.3342 0.7854
0.3378 0.3378 0.2698
0.4368 0.4368 0.3860
0.6674 0.6674 0.9491
0.7047 0.7047 0.3501
0.9869 0.9869 0.4516
0.9975 0.9975 0.8504
```

First-principles (PBE) data for PaBi2H2 after structural relaxation, as listed in Alexandria.

Properties
* DOS(E_F): 3.052 states/eV per cell
* electronic total energy: -4.955 eV/atom
* crystal system: orthorhombic

```
PaBi2H2
1.0
4.9356 -3.2104 0.0000
4.9356 3.2104 0.0000
0.0000 0.0000 6.4120
Pa Bi H
2 4 4
direct
0.1531 0.8469 0.7500
0.8469 0.1531 0.2500
0.2829 0.2829 0.0000
0.2829 0.2829 0.5000
0.7171 0.7171 0.0000
0.7171 0.7171 0.5000
0.1338 0.8662 0.0862
0.1338 0.8662 0.4138
0.8662 0.1338 0.5862
0.8662 0.1338 0.9138
```

First-principles (PBE) data for PaBi2H after structural relaxation, as listed in Alexandria.

Properties
* DOS(E_F): 7.597 states/eV per cell
* electronic total energy: -5.238 eV/atom
* crystal system: monoclinic

```
PaBi2H
1.0
5.9646 0.0000 0.0000
0.0000 3.4366 0.0000
-1.7257 0.0000 9.4493
Pa Bi H
2 4 2
direct
0.0000 0.0000 0.0000
0.5000 0.5000 0.0000
0.2454 0.0000 0.6920
0.4218 0.0000 0.2963
0.7454 0.5000 0.6920
0.9218 0.5000 0.2963
0.1397 0.5000 0.9062
0.6397 0.0000 0.9062
```

First-principles (PBE) data for Pa3Bi2H after structural relaxation, as listed in Alexandria.

Properties
* DOS(E_F): 23.630 states/eV per cell
* electronic total energy: -6.585 eV/atom
* crystal system: orthorhombic

```
Pa3Bi2H
1.0
5.3565 -4.4842 0.0000
5.3565 4.4842 0.0000
0.0000 0.0000 6.1167
Pa Bi H
6 4 2
direct
0.1474 0.8526 0.7500
0.3704 0.3704 0.0000
0.3704 0.3704 0.5000
0.6296 0.6296 0.0000
0.6296 0.6296 0.5000
0.8526 0.1474 0.2500
0.0276 0.6677 0.2500
0.3323 0.9724 0.2500
0.6677 0.0276 0.7500
0.9724 0.3323 0.7500
0.3896 0.6104 0.7500
0.6104 0.3896 0.2500
```

> electronic total energy of number 7 (PaBi2H)?

-5.238 eV/atom